1 | A plane-wave DFT calculation with PBE-GGA was carried out for an optimized crystal structure of La2Ho3.

Cell: 9.3262 9.3262 9.3262 Å, 138.07 58.91 140.57°
Positions (direct):
La: 0.1904 0.1421 0.3325
La: 0.3096 0.6421 0.9517
La: 0.6904 0.3579 0.0483
La: 0.8096 0.8579 0.6675
Ho: 0.0904 0.6161 0.7065
Ho: 0.2500 0.2500 0.0000
Ho: 0.4096 0.1161 0.5257
Ho: 0.5904 0.8839 0.4743
Ho: 0.7500 0.7500 0.0000
Ho: 0.9096 0.3839 0.2935

2 | A plane-wave DFT calculation with PBE-GGA was carried out for an optimized crystal structure of La2Ho3.

Cell: 6.9353 6.9353 6.9353 Å, 92.05 92.05 92.05°
Positions (direct):
La: 0.0000 0.0000 0.0000
La: 0.2500 0.2500 0.2500
La: 0.5000 0.5000 0.5000
La: 0.7500 0.7500 0.7500
Ho: 0.0738 0.7500 0.4262
Ho: 0.2500 0.5738 0.9262
Ho: 0.4262 0.0738 0.7500
Ho: 0.5738 0.9262 0.2500
Ho: 0.7500 0.4262 0.0738
Ho: 0.9262 0.2500 0.5738

Ordering by calculated energy gives the sequence 1, 2, with the first entry being the most stable.

1 | A plane-wave DFT calculation with PBE-GGA was carried out for an optimized crystal structure of LiLa2Ho.

Cell: 3.7067 3.7067 9.2887 Å, 90.00 90.00 90.00°
Positions (direct):
Li: 0.0000 0.0000 0.0000
La: 0.5000 0.5000 0.2341
La: 0.5000 0.5000 0.7659
Ho: 0.0000 0.0000 0.5000

2 | A plane-wave DFT calculation with PBE-GGA was carried out for an optimized crystal structure of LiLa2Ho.

Cell: 5.6624 5.6624 5.6624 Å, 60.00 60.00 60.00°
Positions (direct):
Li: 0.0000 0.0000 0.0000
La: 0.2500 0.2500 0.2500
La: 0.7500 0.7500 0.7500
Ho: 0.5000 0.5000 0.5000

Ordering by calculated energy gives the sequence 1, 2, with the first entry being the most stable.

1 | A plane-wave DFT calculation with PBE-GGA was carried out for an optimized crystal structure of LiLa2Ho.

Cell: 11.6970 11.6970 11.6970 Å, 17.83 17.83 17.83°
Positions (direct):
Li: 0.0000 0.0000 0.0000
La: 0.4172 0.4172 0.4172
La: 0.5843 0.5843 0.5843
Ho: 0.1676 0.1676 0.1676

2 | A plane-wave DFT calculation with PBE-GGA was carried out for an optimized crystal structure of LiLa2Ho.

Cell: 12.7590 12.7590 12.7590 Å, 15.97 15.97 15.97°
Positions (direct):
Li: 0.0000 0.0000 0.0000
La: 0.0894 0.0894 0.0894
La: 0.9106 0.9106 0.9106
Ho: 0.5000 0.5000 0.5000

Ordering by calculated energy gives the sequence 1, 2, with the first entry being the most stable.

1 | A plane-wave DFT calculation with PBE-GGA was carried out for an optimized crystal structure of Li2LaHo.

Cell: 3.7691 3.7691 7.6538 Å, 90.00 90.00 90.00°
Positions (direct):
Li: 0.0000 0.0000 0.2392
Li: 0.0000 0.0000 0.7608
La: 0.5000 0.5000 0.5000
Ho: 0.5000 0.5000 0.0000

2 | A plane-wave DFT calculation with PBE-GGA was carried out for an optimized crystal structure of Li2LaHo.

Cell: 5.3716 5.3716 5.3716 Å, 60.00 60.00 60.00°
Positions (direct):
Li: 0.2500 0.2500 0.2500
Li: 0.7500 0.7500 0.7500
La: 0.0000 0.0000 0.0000
Ho: 0.5000 0.5000 0.5000

Ordering by calculated energy gives the sequence 1, 2, with the first entry being the most stable.